Compound: Ba4Mg3Ga2
Source: Alexandria
Functional: PBE
Structure: relaxed

Cell: 18.335 4.695 8.052 Å, 90.00 107.16 90.00°
Space group C2/m (No. 12)
Asymmetric unit:
Ba: 0.077 0.000 0.366 x4
Ba: 0.231 0.500 0.196 x4
Mg: 0.000 0.500 0.000 x2
Mg: 0.089 0.500 0.731 x4
Ga: 0.099 0.000 0.954 x4

Output
The calculated formation energy is -174 meV per atom. The calculation puts the total energy at -2.23 eV/atom.